1.
A plane-wave DFT calculation with GGA-PBE was carried out for an optimized crystal structure of BeNbCo2.

## Properties
- crystal system = tetragonal
- total moment (μB/atom) = 0.000
- E_form (kJ per mole of atoms) = 23.4

Structure (CIF):
```
data_BeNbCo2
_chemical_formula_sum 'Be4 Nb4 Co8'
_space_group_name_H-M_alt 'I -4 2 d'
_space_group_IT_number 122
_space_group_name_Hall 'I -4 2bw'
_cell_length_a 6.283
_cell_length_b 6.283
_cell_length_c 4.923
_cell_angle_alpha 90.00
_cell_angle_beta 90.00
_cell_angle_gamma 90.00
loop_
_atom_site_label
_atom_site_fract_x
_atom_site_fract_y
_atom_site_fract_z
_atom_site_occupancy
Be1 0.000 0.000 0.000 1
Nb1 0.000 0.000 0.500 1
Co1 0.187 0.750 0.125 1
```



2.
A plane-wave DFT calculation with GGA-PBE was carried out for an optimized crystal structure of ErTm2GaC.

## Properties
- crystal system = tetragonal
- total moment (μB/atom) = 0.000
- E_form (kJ per mole of atoms) = -49.0

Structure (CIF):
```
data_ErTm2GaC
_chemical_formula_sum 'Er1 Tm2 Ga1 C1'
_space_group_name_H-M_alt 'P 4/m m m'
_space_group_IT_number 123
_space_group_name_Hall '-P 4 2'
_cell_length_a 4.774
_cell_length_b 4.774
_cell_length_c 4.803
_cell_angle_alpha 90.00
_cell_angle_beta 90.00
_cell_angle_gamma 90.00
loop_
_atom_site_label
_atom_site_fract_x
_atom_site_fract_y
_atom_site_fract_z
_atom_site_occupancy
Er1 0.000 0.000 0.000 1
Tm1 0.000 0.500 0.500 1
Ga1 0.500 0.500 0.000 1
C1 0.000 0.000 0.500 1
```



3.
A plane-wave DFT calculation with GGA-PBE was carried out for an optimized crystal structure of NbBiIO6.

## Properties
- crystal system = trigonal
- total moment (μB/atom) = 0.114
- calculated total energy (eV/f.u.) = -55.88

Structure (CIF):
```
data_NbBiIO6
_chemical_formula_sum 'Nb2 Bi2 I2 O12'
_space_group_name_H-M_alt 'P -3 1 c'
_space_group_IT_number 163
_space_group_name_Hall '-P 3 2c'
_cell_length_a 5.7010
_cell_length_b 5.7010
_cell_length_c 9.5398
_cell_angle_alpha 90.00
_cell_angle_beta 90.00
_cell_angle_gamma 120.00
loop_
_atom_site_label
_atom_site_fract_x
_atom_site_fract_y
_atom_site_fract_z
_atom_site_occupancy
Nb1 0.3333 0.6667 0.2500 1
Bi1 0.0000 0.0000 0.0000 1
I1 0.3333 0.6667 0.7500 1
O1 0.0258 0.3655 0.1397 1
```



4.
A plane-wave DFT calculation with GGA-PBE was carried out for an optimized crystal structure of Co2RuPt.

## Properties
- crystal system = tetragonal
- total moment (μB/atom) = 0.807
- E_form (kJ per mole of atoms) = 8.2
- energy above the most stable polymorph in this dataset (meV/atom) = 20

Structure (CIF):
```
data_Co2RuPt
_chemical_formula_sum 'Co2 Ru1 Pt1'
_space_group_name_H-M_alt 'P 4/m m m'
_space_group_IT_number 123
_space_group_name_Hall '-P 4 2'
_cell_length_a 3.780
_cell_length_b 3.780
_cell_length_c 3.600
_cell_angle_alpha 90.00
_cell_angle_beta 90.00
_cell_angle_gamma 90.00
loop_
_atom_site_label
_atom_site_fract_x
_atom_site_fract_y
_atom_site_fract_z
_atom_site_occupancy
Co1 0.000 0.500 0.000 1
Ru1 0.000 0.000 0.500 1
Pt1 0.500 0.500 0.500 1
```



5.
A plane-wave DFT calculation with GGA-PBE was carried out for an optimized crystal structure of In2FeSi.

## Properties
- crystal system = trigonal
- total moment (μB/atom) = 0.639
- calculated total energy (eV/f.u.) = -17.47

Structure (CIF):
```
data_In2FeSi
_chemical_formula_sum 'In6 Fe3 Si3'
_space_group_name_H-M_alt 'R -3 m'
_space_group_IT_number 166
_space_group_name_Hall '-R 3 2"'
_cell_length_a 3.2579
_cell_length_b 3.2579
_cell_length_c 25.2352
_cell_angle_alpha 90.00
_cell_angle_beta 90.00
_cell_angle_gamma 120.00
loop_
_atom_site_label
_atom_site_fract_x
_atom_site_fract_y
_atom_site_fract_z
_atom_site_occupancy
In1 0.0000 0.0000 0.2475 1
Fe1 0.0000 0.0000 0.5000 1
Si1 0.0000 0.0000 0.0000 1
```



6.
A plane-wave DFT calculation with GGA-PBE was carried out for an optimized crystal structure of Sm2TiZn.

## Properties
- crystal system = tetragonal
- total moment (μB/atom) = 0.281
- E_form (kJ per mole of atoms) = 5.2
- energy above the most stable polymorph in this dataset (meV/atom) = 36

Structure (CIF):
```
data_Sm2TiZn
_chemical_formula_sum 'Sm2 Ti1 Zn1'
_space_group_name_H-M_alt 'P 4/m m m'
_space_group_IT_number 123
_space_group_name_Hall '-P 4 2'
_cell_length_a 5.316
_cell_length_b 5.316
_cell_length_c 3.461
_cell_angle_alpha 90.00
_cell_angle_beta 90.00
_cell_angle_gamma 90.00
loop_
_atom_site_label
_atom_site_fract_x
_atom_site_fract_y
_atom_site_fract_z
_atom_site_occupancy
Sm1 0.000 0.500 0.000 1
Ti1 0.000 0.000 0.500 1
Zn1 0.500 0.500 0.500 1
```



7.
A plane-wave DFT calculation with GGA-PBE was carried out for an optimized crystal structure of HfS3Cl.

## Properties
- crystal system = cubic
- total moment (μB/atom) = 0.590
- energy above the most stable polymorph in this dataset (meV/atom) = 0

Structure (CIF):
```
data_HfS3Cl
_chemical_formula_sum 'Hf1 S3 Cl1'
_space_group_name_H-M_alt 'P m -3 m'
_space_group_IT_number 221
_space_group_name_Hall '-P 4 2 3'
_cell_length_a 4.960
_cell_length_b 4.960
_cell_length_c 4.960
_cell_angle_alpha 90.00
_cell_angle_beta 90.00
_cell_angle_gamma 90.00
loop_
_atom_site_label
_atom_site_fract_x
_atom_site_fract_y
_atom_site_fract_z
_atom_site_occupancy
Hf1 0.000 0.000 0.000 1
S1 0.000 0.000 0.500 1
Cl1 0.500 0.500 0.500 1
```



8.
A plane-wave DFT calculation with GGA-PBE was carried out for an optimized crystal structure of Sc6BiAs2S3.

## Properties
- crystal system = monoclinic
- total moment (μB/atom) = 0.000
- calculated total energy (eV/f.u.) = -81.21

Structure (CIF):
```
data_Sc6BiAs2S3
_chemical_formula_sum 'Sc12 Bi2 As4 S6'
_space_group_name_H-M_alt 'C 1 2/m 1'
_space_group_IT_number 12
_space_group_name_Hall '-C 2y'
_cell_length_a 16.831
_cell_length_b 3.829
_cell_length_c 7.758
_cell_angle_alpha 90.00
_cell_angle_beta 103.52
_cell_angle_gamma 90.00
loop_
_atom_site_label
_atom_site_fract_x
_atom_site_fract_y
_atom_site_fract_z
_atom_site_occupancy
Sc1 0.001 0.000 0.220 1
Sc2 0.168 0.500 0.083 1
Sc3 0.178 0.500 0.589 1
Bi1 0.000 0.500 0.500 1
As1 0.166 0.000 0.832 1
S1 0.000 0.500 0.000 1
S2 0.164 0.000 0.331 1
```



9.
A plane-wave DFT calculation with GGA-PBE was carried out for an optimized crystal structure of Tm5CdIr.

## Properties
- crystal system = monoclinic
- total moment (μB/atom) = 0.000
- E_form (kJ per mole of atoms) = -26.6

Structure (CIF):
```
data_Tm5CdIr
_chemical_formula_sum 'Tm20 Cd4 Ir4'
_space_group_name_H-M_alt 'C 1 2/c 1'
_space_group_IT_number 15
_space_group_name_Hall '-C 2yc'
_cell_length_a 8.996
_cell_length_b 7.363
_cell_length_c 11.743
_cell_angle_alpha 90.00
_cell_angle_beta 105.15
_cell_angle_gamma 90.00
loop_
_atom_site_label
_atom_site_fract_x
_atom_site_fract_y
_atom_site_fract_z
_atom_site_occupancy
Tm1 0.000 0.004 0.250 1
Tm2 0.125 0.333 0.069 1
Tm3 0.248 0.332 0.375 1
Cd1 0.000 0.403 0.750 1
Ir1 0.000 0.000 0.000 1
```



10.
A plane-wave DFT calculation with GGA-PBE was carried out for an optimized crystal structure of ZrCuAgPb2.

## Properties
- crystal system = tetragonal
- total moment (μB/atom) = 0.000
- E_form (kJ per mole of atoms) = 81.7

Structure (CIF):
```
data_ZrCuAgPb2
_chemical_formula_sum 'Zr1 Cu1 Ag1 Pb2'
_space_group_name_H-M_alt 'P 4/m m m'
_space_group_IT_number 123
_space_group_name_Hall '-P 4 2'
_cell_length_a 5.615
_cell_length_b 5.615
_cell_length_c 4.918
_cell_angle_alpha 90.00
_cell_angle_beta 90.00
_cell_angle_gamma 90.00
loop_
_atom_site_label
_atom_site_fract_x
_atom_site_fract_y
_atom_site_fract_z
_atom_site_occupancy
Zr1 0.000 0.000 0.000 1
Cu1 0.000 0.000 0.500 1
Ag1 0.500 0.500 0.500 1
Pb1 0.000 0.500 0.000 1
```



11.
A plane-wave DFT calculation with GGA-PBE was carried out for an optimized crystal structure of Rb3Np2RuS6.

## Properties
- crystal system = monoclinic
- total moment (μB/atom) = 0.583
- calculated total energy (eV/f.u.) = -75.72

Structure (CIF):
```
data_Rb3Np2RuS6
_chemical_formula_sum 'Rb6 Np4 Ru2 S12'
_space_group_name_H-M_alt 'C 1 2/m 1'
_space_group_IT_number 12
_space_group_name_Hall '-C 2y'
_cell_length_a 6.732
_cell_length_b 11.675
_cell_length_c 8.064
_cell_angle_alpha 90.00
_cell_angle_beta 106.26
_cell_angle_gamma 90.00
loop_
_atom_site_label
_atom_site_fract_x
_atom_site_fract_y
_atom_site_fract_z
_atom_site_occupancy
Rb1 0.000 0.000 0.000 1
Rb2 0.000 0.330 0.000 1
Np1 0.000 0.166 0.500 1
Ru1 0.000 0.500 0.500 1
S1 0.217 0.345 0.686 1
S2 0.248 0.500 0.313 1
```



12.
A plane-wave DFT calculation with GGA-PBE was carried out for an optimized crystal structure of Tb2PmY8.

## Properties
- crystal system = monoclinic
- total moment (μB/atom) = 0.000
- E_form (kJ per mole of atoms) = 16.3
- energy above the most stable polymorph in this dataset (meV/atom) = 19

Structure (CIF):
```
data_Tb2PmY8
_chemical_formula_sum 'Tb4 Pm2 Y16'
_space_group_name_H-M_alt 'C 1 2/m 1'
_space_group_IT_number 12
_space_group_name_Hall '-C 2y'
_cell_length_a 16.614
_cell_length_b 6.681
_cell_length_c 6.675
_cell_angle_alpha 90.00
_cell_angle_beta 99.61
_cell_angle_gamma 90.00
loop_
_atom_site_label
_atom_site_fract_x
_atom_site_fract_y
_atom_site_fract_z
_atom_site_occupancy
Tb1 0.244 0.000 0.310 1
Pm1 0.000 0.000 0.000 1
Y1 0.089 0.500 0.903 1
Y2 0.090 0.263 0.406 1
Y3 0.205 0.000 0.801 1
```